# GGA-PBE BeS2NF, relaxed
data_BeS2NF
_cell_length_a 4.445
_cell_length_b 4.445
_cell_length_c 3.163
_cell_angle_alpha 90.00
_cell_angle_beta 90.00
_cell_angle_gamma 90.00
_space_group_name_H-M_alt 'P 4/m m m'
_space_group_IT_number 123
_space_group_name_Hall '-P 4 2'
loop_
_atom_site_label
_atom_site_type_symbol
_atom_site_fract_x
_atom_site_fract_y
_atom_site_fract_z
Be1 Be 0.000 0.000 0.000
S1 S 0.000 0.500 0.000
N1 N 0.000 0.000 0.500
F1 F 0.500 0.500 0.500
# D(E_F) (states/eV/atom): 0.6584
# Energy relative to the lowest polymorph listed for this composition (eV/atom): 0.000
# Energy relative to the elements, uncorrected (eV per atom): 0.7220

# GGA-PBE BeSNF2, relaxed
data_BeSNF2
_cell_length_a 4.530
_cell_length_b 4.530
_cell_length_c 3.267
_cell_angle_alpha 90.00
_cell_angle_beta 90.00
_cell_angle_gamma 90.00
_space_group_name_H-M_alt 'P 4/m m m'
_space_group_IT_number 123
_space_group_name_Hall '-P 4 2'
loop_
_atom_site_label
_atom_site_type_symbol
_atom_site_fract_x
_atom_site_fract_y
_atom_site_fract_z
Be1 Be 0.000 0.000 0.000
S1 S 0.500 0.500 0.500
N1 N 0.500 0.500 0.000
F1 F 0.000 0.500 0.500
# D(E_F) (states/eV/atom): 0.4406
# Energy relative to the lowest polymorph listed for this composition (eV/atom): 1.218
# Energy relative to the elements, uncorrected (eV per atom): 0.4106

# GGA-PBE BeS2NF, relaxed
data_BeS2NF
_cell_length_a 4.348
_cell_length_b 4.348
_cell_length_c 3.721
_cell_angle_alpha 90.00
_cell_angle_beta 90.00
_cell_angle_gamma 90.00
_space_group_name_H-M_alt 'P 4/m m m'
_space_group_IT_number 123
_space_group_name_Hall '-P 4 2'
loop_
_atom_site_label
_atom_site_type_symbol
_atom_site_fract_x
_atom_site_fract_y
_atom_site_fract_z
Be1 Be 0.000 0.000 0.000
S1 S 0.000 0.500 0.500
N1 N 0.500 0.500 0.000
F1 F 0.500 0.500 0.500
# D(E_F) (states/eV/atom): 0.8817
# Energy relative to the lowest polymorph listed for this composition (eV/atom): 1.027
# Energy relative to the elements, uncorrected (eV per atom): 1.7493

# GGA-PBE BeSNF2, relaxed
data_BeSNF2
_cell_length_a 3.081
_cell_length_b 3.081
_cell_length_c 6.707
_cell_angle_alpha 90.00
_cell_angle_beta 90.00
_cell_angle_gamma 90.00
_space_group_name_H-M_alt 'P 4/m m m'
_space_group_IT_number 123
_space_group_name_Hall '-P 4 2'
loop_
_atom_site_label
_atom_site_type_symbol
_atom_site_fract_x
_atom_site_fract_y
_atom_site_fract_z
Be1 Be 0.000 0.000 0.000
S1 S 0.500 0.500 0.500
N1 N 0.000 0.000 0.500
F1 F 0.000 0.500 0.000
# D(E_F) (states/eV/atom): 0.1870
# Energy relative to the lowest polymorph listed for this composition (eV/atom): 0.000
# Energy relative to the elements, uncorrected (eV per atom): -0.8072